# 1
Na3Li2In3 | PBE | relaxed

Geometry as CIF:
```
data_Na3Li2In3
_space_group_name_H-M_alt 'P -6 2 m'
_space_group_IT_number 189
_space_group_name_Hall 'P -6 -2'
_cell_length_a 8.5920
_cell_length_b 8.5920
_cell_length_c 3.1058
_cell_angle_alpha 90.00
_cell_angle_beta 90.00
_cell_angle_gamma 120.00
loop_
_atom_site_label
_atom_site_type_symbol
_atom_site_fract_x
_atom_site_fract_y
_atom_site_fract_z
Na1 Na 0.0000 0.2438 0.0000
Li1 Li 0.3333 0.6667 0.0000
In1 In 0.0000 0.5949 0.5000
```

# 2
NaLi2In2 | PBE | relaxed

Geometry as CIF:
```
data_NaLi2In2
_space_group_name_H-M_alt 'I 4/m m m'
_space_group_IT_number 139
_space_group_name_Hall '-I 4 2'
_cell_length_a 4.025
_cell_length_b 4.025
_cell_length_c 14.546
_cell_angle_alpha 90.00
_cell_angle_beta 90.00
_cell_angle_gamma 90.00
loop_
_atom_site_label
_atom_site_type_symbol
_atom_site_fract_x
_atom_site_fract_y
_atom_site_fract_z
Na1 Na 0.000 0.000 0.000
Li1 Li 0.000 0.500 0.250
In1 In 0.000 0.000 0.397
```

# 3
Na6LiIn2 | PBE | relaxed

Geometry as CIF:
```
data_Na6LiIn2
_space_group_name_H-M_alt 'C 1 2/m 1'
_space_group_IT_number 12
_cell_length_a 12.605
_cell_length_b 3.776
_cell_length_c 11.700
_cell_angle_alpha 90.00
_cell_angle_beta 107.55
_cell_angle_gamma 90.00
loop_
_space_group_symop_operation_xyz
'x,y,z'
'-x,-y,-z'
'-x,y,-z'
'x,-y,z'
'x+1/2,y+1/2,z'
'-x+1/2,-y+1/2,-z'
'-x+1/2,y+1/2,-z'
'x+1/2,-y+1/2,z'
loop_
_atom_site_label
_atom_site_type_symbol
_atom_site_fract_x
_atom_site_fract_y
_atom_site_fract_z
Na1 Na 0.026 0.000 0.340
Na2 Na 0.161 0.500 0.891
Na3 Na 0.195 0.500 0.605
Li1 Li 0.000 0.000 0.000
In1 In 0.142 0.500 0.177
```

Number 1: uncorrected energy -2.143 eV per atom, DOS(E_F) 3.94 states/eV/cell. Number 2: uncorrected energy -2.220 eV per atom, DOS(E_F) 3.99 states/eV/cell. Number 3: uncorrected energy -1.764 eV per atom, DOS(E_F) 6.89 states/eV/cell.